[1]
First-principles (GGA-PBE) data for a relaxed structure of InSi3P, as listed in Alexandria.

Geometry as CIF:
```
data_InSi3P
_cell_length_a 5.0538
_cell_length_b 5.0538
_cell_length_c 5.0538
_cell_angle_alpha 90.00
_cell_angle_beta 90.00
_cell_angle_gamma 90.00
_space_group_name_H-M_alt 'P m -3 m'
_space_group_IT_number 221
_space_group_name_Hall '-P 4 2 3'
loop_
_atom_site_label
_atom_site_type_symbol
_atom_site_fract_x
_atom_site_fract_y
_atom_site_fract_z
In1 In 0.0000 0.0000 0.0000
Si1 Si 0.0000 0.0000 0.5000
P1 P 0.5000 0.5000 0.5000
```

Results
**E above lowest polymorph**: 865.7 meV/atom
**Formation energy without anion corrections**: 1568 meV/atom

---

[2]
First-principles (GGA-PBE) data for a relaxed structure of HfScMn2Ge, as listed in Alexandria.

Geometry as CIF:
```
data_HfScMn2Ge
_cell_length_a 4.5600
_cell_length_b 4.5600
_cell_length_c 4.9100
_cell_angle_alpha 90.00
_cell_angle_beta 90.00
_cell_angle_gamma 90.00
_space_group_name_H-M_alt 'P 4/m m m'
_space_group_IT_number 123
_space_group_name_Hall '-P 4 2'
loop_
_atom_site_label
_atom_site_type_symbol
_atom_site_fract_x
_atom_site_fract_y
_atom_site_fract_z
Hf1 Hf 0.0000 0.0000 0.0000
Sc1 Sc 0.5000 0.5000 0.0000
Mn1 Mn 0.0000 0.5000 0.5000
Ge1 Ge 0.5000 0.5000 0.5000
```

Results
**Formation energy**: 253 kJ/mol of formula units

---

What did the second record say?
First-principles (GGA-PBE) data for a relaxed structure of HfScMn2Ge, as listed in Alexandria.

Geometry as CIF:
```
data_HfScMn2Ge
_cell_length_a 4.5600
_cell_length_b 4.5600
_cell_length_c 4.9100
_cell_angle_alpha 90.00
_cell_angle_beta 90.00
_cell_angle_gamma 90.00
_space_group_name_H-M_alt 'P 4/m m m'
_space_group_IT_number 123
_space_group_name_Hall '-P 4 2'
loop_
_atom_site_label
_atom_site_type_symbol
_atom_site_fract_x
_atom_site_fract_y
_atom_site_fract_z
Hf1 Hf 0.0000 0.0000 0.0000
Sc1 Sc 0.5000 0.5000 0.0000
Mn1 Mn 0.0000 0.5000 0.5000
Ge1 Ge 0.5000 0.5000 0.5000
```

Results
**Formation energy**: 253 kJ/mol of formula units

---

> Which formula does entry 1 have?

InSi3P